[1]
# CsTlSbTe2

CsTlSbTe2 at its PBEsol-relaxed geometry (SCAN, the Alexandria database).

Cell: 5.621 5.922 5.922 Å, 90.00 90.00 90.00°
Element x y z (fractional)
Tl  0.000  0.000  0.000
Te  0.000  0.000  0.500
Te  0.000  0.500  0.000
Sb  0.500  0.000  0.000
Cs  0.500  0.500  0.500

Properties
Total magnetization: 0.7 μB/f.u.
Final energy: -44.351 eV/atom

---

[2]
# CsZrSbTe2

CsZrSbTe2 at its PBEsol-relaxed geometry (SCAN, the Alexandria database).

Cell: 5.910 5.843 5.843 Å, 90.00 90.00 90.00°
Element x y z (fractional)
Te  0.000  0.500  0.000
Te  0.000  0.000  0.500
Zr  0.500  0.500  0.500
Sb  0.500  0.000  0.000
Cs  0.000  0.000  0.000

Properties
Total magnetization: 1.3 μB/f.u.
Final energy: -34.555 eV/atom

---

[3]
# Cs3TiSb

Cs3TiSb at its PBEsol-relaxed geometry (SCAN, the Alexandria database).

Cell: 7.236 7.236 7.236 Å, 90.00 90.00 90.00°
Element x y z (fractional)
Ti  0.500  0.500  0.500
Cs  0.500  0.000  0.000
Cs  0.000  0.500  0.000
Cs  0.000  0.000  0.500
Sb  0.000  0.000  0.000

Properties
Total magnetization: 2.0 μB/f.u.
Final energy: -32.745 eV/atom